Material: GeAsSCl2
Method: DFT, PBE-GGA
State: optimized geometry

- N(E_F) (states/eV per atom) = 0.5674
- space group = P4/mmm, No. 123
- M_tot (μB/atom) = 0.1265
- excess energy over the best structure of this formula in the dataset (meV per atom) = 0
- energy relative to the elements, uncorrected (meV per atom) = 175

Structure (POSCAR):
```
GeAsSCl2
1.0
4.9268 0.0000 0.0000
0.0000 4.9268 0.0000
0.0000 0.0000 5.0021
Ge S As Cl
1 1 1 2
Direct
0.5000 0.5000 0.5000
0.0000 0.0000 0.5000
0.0000 0.0000 0.0000
0.0000 0.5000 0.0000
0.5000 0.0000 0.0000
```